# Cs3KRb2F6 (PBE, optimized geometry)
# **E_form (uncorrected)**: -31.876 eV/f.u.
# **Calculated total energy**: -48.70 eV/cell
data_Cs3KRb2F6
_chemical_formula_sum 'Cs3 K1 Rb2 F6'
_cell_length_a 7.1724
_cell_length_b 7.1724
_cell_length_c 7.1965
_cell_angle_alpha 99.61
_cell_angle_beta 99.61
_cell_angle_gamma 119.96
_space_group_name_H-M_alt 'P 1'
_space_group_IT_number 1
loop_
_space_group_symop_operation_xyz
'x,y,z'
loop_
_atom_site_label
_atom_site_fract_x
_atom_site_fract_y
_atom_site_fract_z
Cs1 0.0000 0.0000 0.0000
Cs2 0.3335 0.6665 0.0000
Cs3 0.6665 0.3335 0.0000
K1 0.5000 0.5000 0.5000
Rb1 0.1664 0.8336 0.5000
Rb2 0.8336 0.1664 0.5000
F1 0.0985 0.4230 0.2691
F2 0.2527 0.2527 0.7312
F3 0.4230 0.0985 0.2691
F4 0.5770 0.9015 0.7309
F5 0.7473 0.7473 0.2688
F6 0.9015 0.5770 0.7309

---

# YSi3 (PBE, optimized geometry)
# **E_form (uncorrected)**: -0.582 eV/f.u.
# **Calculated total energy**: -23.31 eV/cell
data_YSi3
_chemical_formula_sum 'Y1 Si3'
_cell_length_a 3.8761
_cell_length_b 3.8761
_cell_length_c 6.1146
_cell_angle_alpha 90.00
_cell_angle_beta 90.00
_cell_angle_gamma 120.00
_space_group_name_H-M_alt 'P 1'
_space_group_IT_number 1
loop_
_space_group_symop_operation_xyz
'x,y,z'
loop_
_atom_site_label
_atom_site_fract_x
_atom_site_fract_y
_atom_site_fract_z
Y1 0.0000 0.0000 0.0000
Si1 0.0000 0.0000 0.5000
Si2 0.3333 0.6667 0.3021
Si3 0.3333 0.6667 0.6979